# 1
This record from the Alexandria database describes crystalline LiHo4S6 at its relaxed geometry. The functional is PBE.

Calculated values
The formation energy without anion corrections comes out at -1.92 eV per atom. The calculation puts the spin magnetization at 0.000 μB per cell.

Lattice parameters (Å, degrees): 3.8732 12.8861 20.1045 90.00 90.00 90.00
Space group Cmcm (No. 63)
Inequivalent atoms, fractional coordinates:
Li: 0.0000 0.1763 0.2500 x4
Ho: 0.0000 0.0971 0.6392 x8
Ho: 0.0000 0.3678 0.5451 x8
S: 0.0000 0.0000 0.0000 x4
S: 0.0000 0.2015 0.7500 x4
S: 0.0000 0.2750 0.0805 x8
S: 0.0000 0.4604 0.6623 x8



# 2
This record from the Alexandria database describes crystalline La3ZnSi2Pd9 at its relaxed geometry. The functional is PBE.

Calculated values
The formation energy without anion corrections comes out at -0.69 eV per atom. The calculation puts the spin magnetization at 0.000 μB per cell.

Lattice parameters (Å, degrees): 5.8703 5.8703 10.3759 90.00 90.00 120.00
Space group P-3m1 (No. 164)
Inequivalent atoms, fractional coordinates:
La: 0.0000 0.0000 0.0000 x1
La: 0.3333 0.6667 0.6268 x2
Zn: 0.0000 0.0000 0.5000 x1
Si: 0.3333 0.6667 0.1614 x2
Pd: 0.0000 0.5000 0.0000 x3
Pd: 0.1617 0.3235 0.3116 x6



# 3
This record from the Alexandria database describes crystalline NbHPd2I at its relaxed geometry. The functional is PBE.

Calculated values
The total energy is -4.439 eV/atom. The calculation puts the spin magnetization at 0.000 μB per cell.

Lattice parameters (Å, degrees): 5.0944 5.0944 3.6972 90.00 90.00 90.00
Space group P4/mmm (No. 123)
Inequivalent atoms, fractional coordinates:
Nb: 0.0000 0.0000 0.0000 x1
H: 0.0000 0.0000 0.5000 x1
Pd: 0.0000 0.5000 0.0000 x2
I: 0.5000 0.5000 0.5000 x1



# 4
This record from the Alexandria database describes crystalline Ba5Sr12Ca2 at its relaxed geometry. The functional is PBE.

Calculated values
The calculation puts the formation energy at 87 meV/atom. The calculation puts the spin magnetization at 0.000 μB per cell.

Lattice parameters (Å, degrees): 27.1521 8.2123 10.4314 90.00 111.13 90.00
Space group C2/m (No. 12)
Inequivalent atoms, fractional coordinates:
Ba: 0.0000 0.0000 0.0000 x2
Ba: 0.1549 0.5000 0.6966 x4
Ba: 0.2411 0.0000 0.5208 x4
Sr: 0.0491 0.5000 0.8911 x4
Sr: 0.1015 0.2565 0.3198 x8
Sr: 0.1268 0.0000 0.7299 x4
Sr: 0.1976 0.2506 0.1002 x8
Ca: 0.0000 0.2618 0.5000 x4



# 5
This record from the Alexandria database describes crystalline Li2Ca2DyMg5 at its relaxed geometry. The functional is PBE.

Calculated values
The calculation puts the formation energy at -46 meV/atom. The calculation puts the spin magnetization at 0.000 μB per cell.

Lattice parameters (Å, degrees): 10.9880 10.9880 4.3620 90.00 90.00 90.00
Space group P4/mbm (No. 127)
Inequivalent atoms, fractional coordinates:
Li: 0.1162 0.3838 0.0000 x4
Ca: 0.1810 0.6810 0.0000 x4
Dy: 0.0000 0.0000 0.0000 x2
Mg: 0.0000 0.5000 0.5000 x2
Mg: 0.0604 0.2125 0.5000 x8



# 6
This record from the Alexandria database describes crystalline TiZnTeW2 at its relaxed geometry. The functional is PBE.

Calculated values
The formation energy without anion corrections comes out at 1.81 eV per atom. The calculation puts the spin magnetization at 0.001 μB per cell.

Lattice parameters (Å, degrees): 4.6375 4.6375 4.9549 90.00 90.00 90.00
Space group P4/mmm (No. 123)
Inequivalent atoms, fractional coordinates:
Ti: 0.0000 0.0000 0.0000 x1
Zn: 0.5000 0.5000 0.5000 x1
Te: 0.5000 0.5000 0.0000 x1
W: 0.0000 0.5000 0.5000 x2



# 7
This record from the Alexandria database describes crystalline NbPPb2 at its relaxed geometry. The functional is PBE.

Calculated values
The calculation puts the formation energy at 727 meV/atom. The calculation puts the spin magnetization at 0.000 μB per cell.

Lattice parameters (Å, degrees): 7.9722 7.9722 5.9462 90.00 90.00 90.00
Space group I-42d (No. 122)
Inequivalent atoms, fractional coordinates:
Nb: 0.0000 0.0000 0.0000 x4
P: 0.0000 0.0000 0.5000 x4
Pb: 0.2333 0.2500 0.6250 x8



# 8
This record from the Alexandria database describes crystalline RbBaMnZn2 at its relaxed geometry. The functional is PBE.

Calculated values
The calculation puts the formation energy at 682 meV/atom. The calculation puts the spin magnetization at 0.000 μB per cell.

Lattice parameters (Å, degrees): 5.0225 5.0225 5.3167 90.00 90.00 90.00
Space group P4/mmm (No. 123)
Inequivalent atoms, fractional coordinates:
Rb: 0.0000 0.0000 0.0000 x1
Ba: 0.5000 0.5000 0.0000 x1
Mn: 0.0000 0.0000 0.5000 x1
Zn: 0.0000 0.5000 0.5000 x2



# 9
This record from the Alexandria database describes crystalline Zr3TlH at its relaxed geometry. The functional is PBE.

Calculated values
The total energy is -6.322 eV/atom. The calculation puts the spin magnetization at 0.000 μB per cell.

Lattice parameters (Å, degrees): 5.8573 10.6314 6.2785 90.00 90.00 90.00
Space group Cmcm (No. 63)
Inequivalent atoms, fractional coordinates:
Zr: 0.0000 0.0000 0.0000 x4
Zr: 0.2500 0.2379 0.2500 x8
Tl: 0.0000 0.4858 0.2500 x4
H: 0.0000 0.1233 0.7500 x4



# 10
This record from the Alexandria database describes crystalline Cr2Ni3B6 at its relaxed geometry. The functional is PBE.

Calculated values
The calculation puts the formation energy at -330 meV/atom. The calculation puts the spin magnetization at 0.000 μB per cell.

Lattice parameters (Å, degrees): 2.9684 2.9548 20.0556 90.00 90.00 90.00
Space group Amm2 (No. 38)
Inequivalent atoms, fractional coordinates:
Cr: 0.0000 0.0000 0.0000 x2
Cr: 0.0000 0.0000 0.3834 x2
Ni: 0.0000 0.0000 0.7650 x2
Ni: 0.5000 0.0000 0.1892 x2
Ni: 0.5000 0.0000 0.5832 x2
B: 0.0000 0.0000 0.1091 x2
B: 0.0000 0.0000 0.6598 x2
B: 0.5000 0.0000 0.2945 x2
B: 0.5000 0.0000 0.4745 x2
B: 0.5000 0.0000 0.8402 x2
B: 0.5000 0.0000 0.9266 x2



# 11
This record from the Alexandria database describes crystalline PaMn3Ni4H12 at its relaxed geometry. The functional is PBE.

Calculated values
The total energy is -4.985 eV/atom. The calculation puts the spin magnetization at 18.507 μB per cell.

Lattice parameters (Å, degrees): 8.2156 8.2156 7.6318 90.00 90.00 120.00
Space group R32 (No. 155, hexagonal axes)
Inequivalent atoms, fractional coordinates:
Pa: 0.0000 0.0000 0.0000 x3
Mn: 0.0000 0.6065 0.0000 x9
Ni: 0.0000 0.0000 0.5000 x3
Ni: 0.0000 0.3521 0.5000 x9
H: 0.0000 0.5565 0.5000 x9
H: 0.0000 0.8114 0.5000 x9
H: 0.0504 0.1796 0.2597 x18



# 12
This record from the Alexandria database describes crystalline PdAu2I2 at its relaxed geometry. The functional is PBE.

Calculated values
The calculation puts the distance to the lowest polymorph of the same formula at 0.0 meV/atom. The formation energy without anion corrections comes out at 0.36 eV per atom. The calculation puts the spin magnetization at 0.000 μB per cell.

Lattice parameters (Å, degrees): 7.4714 7.4714 4.3149 90.00 90.00 90.00
Space group P4/mbm (No. 127)
Inequivalent atoms, fractional coordinates:
Pd: 0.0000 0.0000 0.0000 x2
Au: 0.1347 0.3653 0.0000 x4
I: 0.1840 0.6840 0.5000 x4



Record-wise V values, in A^3/atom: 22.80, 20.64, 19.19, 57.10, 26.33, 21.31, 23.62, 26.82, 19.55, 8.00, 7.44, 24.09